{
  "formula": "Cs2LiSbCl6",
  "functional": "meta-GGA SCAN",
  "state": "single point on PBEsol structure",
  "cell": [[7.3525, 0.0000, 0.0000], [3.6763, 6.3675, 0.0000], [3.6763, 2.1225, 6.0033]],
  "species": ["Cs", "Cs", "Sb", "Li", "Cl", "Cl", "Cl", "Cl", "Cl", "Cl"],
  "fractional_positions": [[0.7500, 0.7500, 0.7500], [0.2500, 0.2500, 0.2500], [0.0000, 0.0000, 0.0000], [0.5000, 0.5000, 0.5000], [0.7465, 0.2535, 0.2535], [0.7465, 0.7465, 0.2535], [0.2535, 0.7465, 0.7465], [0.7465, 0.2535, 0.7465], [0.2535, 0.7465, 0.2535], [0.2535, 0.2535, 0.7465]],
  "total_energy_ev_per_fu": -180.325,
  "raw_formation_energy_ev_per_atom": -1.719,
  "space_group": "Fm-3m"
}

{
  "formula": "SrHfCr2H",
  "functional": "meta-GGA SCAN",
  "state": "single point on PBEsol structure",
  "cell": [[3.7116, 0.0000, 0.0000], [0.0000, 5.3321, 0.0000], [0.0000, 0.0000, 5.3321]],
  "species": ["Sr", "Hf", "H", "Cr", "Cr"],
  "fractional_positions": [[0.5000, 0.5000, 0.5000], [0.0000, 0.0000, 0.0000], [0.5000, 0.0000, 0.0000], [0.0000, 0.0000, 0.5000], [0.0000, 0.5000, 0.0000]],
  "total_energy_ev_per_fu": -121.829,
  "space_group": "P4/mmm"
}